(1)
CdSiHg2 after structural relaxation, computed with PBE.

As for the formation energy without anion corrections: 149 kJ/mol of formula units. The magnetization is 0.00 μB per cell. The value obtained for the density is 10.14 Mg/m³.

Cell: 7.0795 7.0795 7.0795 Å, 90.00 90.00 90.00°
With the nearest neighbours (Å) after each atom.
Space group Fm-3m (No. 225)
One atom of each set of equivalent atoms:
Cd 0.0000 0.0000 0.0000 [4 per cell]  8 Hg 3.07
Si 0.0000 0.0000 0.5000 [4 per cell]  8 Hg 3.07
Hg 0.2500 0.2500 0.2500 [8 per cell]  4 Cd 3.07, 4 Si 3.07


(2)
CdSiHg2 after structural relaxation, computed with PBE.

As for the formation energy without anion corrections: 132 kJ/mol of formula units. The magnetization is 0.00 μB per cell. The value obtained for the density is 9.95 Mg/m³.

Cell: 3.4496 5.5038 9.5249 Å, 90.00 90.00 90.00°
With the nearest neighbours (Å) after each atom.
Space group Immm (No. 71)
One atom of each set of equivalent atoms:
Cd 0.0000 0.0000 0.0000 [2 per cell]  4 Hg 3.06, 4 Si 3.25
Si 0.0000 0.0000 0.5000 [2 per cell]  4 Hg 2.82
Hg 0.0000 0.5000 0.2343 [4 per cell]  2 Si 2.82, 2 Cd 3.06